(1)
# Ac3IrS6

A relaxed Ac3IrS6 crystal (PBE-GGA, Alexandria via LeMat-Bulk).

Geometry as POSCAR:
```
Ac3IrS6
1.0
8.1662 -0.4373 -0.4471
-0.6144 8.1547 -0.4471
-0.6144 -0.6279 8.1428
Ir S Ac
2 12 6
direct
0.5000 0.5000 0.5000
0.0000 0.0000 0.0000
0.2154 0.5708 0.4408
0.5708 0.4408 0.2154
0.5592 0.7846 0.4292
0.2935 0.9677 0.0591
0.9409 0.7065 0.0323
0.9677 0.0591 0.2935
0.4408 0.2154 0.5708
0.7065 0.0323 0.9409
0.7846 0.4292 0.5592
0.0591 0.2935 0.9677
0.0323 0.9409 0.7065
0.4292 0.5592 0.7846
0.7186 0.3915 0.8948
0.2814 0.6085 0.1052
0.3915 0.8948 0.7186
0.8948 0.7186 0.3915
0.1052 0.2814 0.6085
0.6085 0.1052 0.2814
```

Properties
Uncorrected formation energy, eV per atom: -1.599
Space-group type: R-3

=====

(2)
# Pu6GeRh5

A relaxed Pu6GeRh5 crystal (PBE-GGA, Alexandria via LeMat-Bulk).

Geometry as POSCAR:
```
Pu6GeRh5
1.0
4.8863 -0.0903 -1.4259
-3.8617 6.8128 -4.1322
-0.2700 -1.5955 8.7051
Rh Pu Ge
5 6 1
direct
0.5000 0.8256 0.1744
0.0000 0.3281 0.6719
0.5000 0.1744 0.8256
0.5000 0.5000 0.5000
0.0000 0.6719 0.3281
0.7424 0.9162 0.5807
0.2333 0.7470 0.7470
0.7424 0.5807 0.9162
0.2576 0.0838 0.4193
0.2576 0.4193 0.0838
0.7667 0.2530 0.2530
0.0000 0.0000 0.0000
```

Properties
D(E_F), states/eV per cell: 44.7
ΔE_f, eV per atom: -0.38
Space-group type: C2/m

=====

(3)
# BaInGa2Co

A relaxed BaInGa2Co crystal (PBE-GGA, Alexandria via LeMat-Bulk).

Geometry as POSCAR:
```
BaInGa2Co
1.0
4.7781 0.0000 0.0000
0.0000 4.7781 0.0000
0.0000 0.0000 5.0058
In Ga Co Ba
1 2 1 1
direct
0.0000 0.0000 0.5000
0.0000 0.5000 0.0000
0.5000 0.0000 0.0000
0.0000 0.0000 0.0000
0.5000 0.5000 0.5000
```

Properties
D(E_F), states/eV per cell: 1.9
ΔE_f, eV per atom: -0.30
Space-group type: P4/mmm

=====

(4)
# PaInN2

A relaxed PaInN2 crystal (PBE-GGA, Alexandria via LeMat-Bulk).

Geometry as POSCAR:
```
PaInN2
1.0
3.6040 0.0000 0.0000
1.8020 3.1211 0.0000
1.8020 1.0404 6.7158
In Pa N
1 1 2
direct
0.4800 0.4800 0.5599
0.6661 0.6661 0.0016
0.2941 0.2941 0.1177
0.0597 0.0597 0.8208
```

Properties
Uncorrected formation energy, eV per atom: -0.888
Distance to the lowest polymorph of the same formula, eV/f.u.: 0.00
Space-group type: R3m

=====

(5)
# ZrCu2Ni

A relaxed ZrCu2Ni crystal (PBE-GGA, Alexandria via LeMat-Bulk).

Geometry as POSCAR:
```
ZrCu2Ni
1.0
-0.2668 -4.5211 2.7499
0.1064 0.0073 -5.2974
2.3976 -1.2547 -0.5949
Ni Cu Zr
1 2 1
direct
0.5000 0.0000 0.5000
0.5000 0.5000 0.0000
0.0000 0.0000 0.0000
0.0000 0.5000 0.5000
```

Properties
D(E_F), states/eV per cell: 2.6
ΔE_f, eV per atom: 0.10
Space-group type: C2/m

=====

(6)
# Al3ZnAg3

A relaxed Al3ZnAg3 crystal (PBE-GGA, Alexandria via LeMat-Bulk).

Geometry as POSCAR:
```
Al3ZnAg3
1.0
-2.7620 1.0445 3.5288
-6.4919 -1.2033 -4.7251
3.1167 -6.1659 4.2646
Al Ag Zn
6 6 2
direct
0.2500 0.8775 0.7548
0.7500 0.1226 0.8778
0.2500 0.2452 0.1229
0.2500 0.8774 0.1222
0.7500 0.7548 0.8771
0.7500 0.1225 0.2452
0.7500 0.7822 0.5635
0.2500 0.2184 0.7822
0.7500 0.7816 0.2178
0.2500 0.5636 0.7816
0.2500 0.2178 0.4365
0.7500 0.4364 0.2184
0.7500 0.3332 0.6668
0.2500 0.6668 0.3332
```

Properties
D(E_F), states/eV per cell: 4.7
Distance to the lowest polymorph of the same formula, eV/f.u.: 0.23
ΔE_f, eV per atom: 0.06
Space-group type: Cmcm

=====

(7)
# ZrCl

A relaxed ZrCl crystal (PBE-GGA, Alexandria via LeMat-Bulk).

Geometry as POSCAR:
```
ZrCl
1.0
1.6121 6.2928 0.1446
-1.6121 6.2928 0.1446
0.0000 2.0059 6.2002
Zr Cl
3 3
direct
0.9150 0.9150 0.5793
0.0016 0.0016 0.9952
0.2832 0.2832 0.9679
0.6724 0.6724 0.7407
0.6073 0.6073 0.2520
0.3539 0.3539 0.2981
```

Properties
D(E_F), states/eV per cell: 3.1
Uncorrected formation energy, eV per atom: -0.799
Space-group type: Cm

=====

(8)
# NdSn2Rh

A relaxed NdSn2Rh crystal (PBE-GGA, Alexandria via LeMat-Bulk).

Geometry as POSCAR:
```
NdSn2Rh
1.0
-1.5013 1.5518 -4.0960
-8.2857 -4.9054 1.1785
1.4033 8.5003 5.3231
Sn Rh Nd
8 4 4
direct
0.6981 0.0379 0.3963
0.3019 0.6416 0.6037
0.3019 0.9621 0.6037
0.0839 0.0839 0.1678
0.9161 0.9161 0.8322
0.0816 0.5816 0.1633
0.6981 0.3584 0.3963
0.9184 0.4184 0.8367
0.1465 0.3971 0.2929
0.8535 0.6029 0.7071
0.1465 0.8958 0.2929
0.8535 0.1042 0.7071
0.2919 0.2919 0.5838
0.5000 0.7285 0.0000
0.7081 0.7081 0.4162
0.5000 0.2715 0.0000
```

Properties
D(E_F), states/eV per cell: 7.1
ΔE_f, eV per atom: -0.75
Space-group type: Immm

=====

(9)
# TaAl2Tl

A relaxed TaAl2Tl crystal (PBE-GGA, Alexandria via LeMat-Bulk).

Geometry as POSCAR:
```
TaAl2Tl
1.0
-4.2805 -1.1166 2.9569
-5.0693 -1.6089 0.1628
0.9875 -4.9381 0.5913
Ta Al Tl
1 2 1
direct
0.4930 0.4930 0.5237
0.7585 0.7585 0.7305
0.0049 0.0049 0.0012
0.2437 0.2437 0.2445
```

Properties
D(E_F), states/eV per cell: 2.1
Distance to the lowest polymorph of the same formula, eV/f.u.: 0.45
ΔE_f, eV per atom: 0.24
Space-group type: Cm

=====

(10)
# CeNdNi17

A relaxed CeNdNi17 crystal (PBE-GGA, Alexandria via LeMat-Bulk).

Geometry as POSCAR:
```
CeNdNi17
1.0
6.2371 0.0087 0.7455
0.6627 6.2018 0.7455
0.0096 0.0087 6.2815
Ni Nd Ce
17 1 1
direct
0.1010 0.1010 0.1010
0.0014 0.2911 0.7073
0.7073 0.0014 0.2911
0.9989 0.9989 0.5009
0.3438 0.3438 0.8490
0.7073 0.2911 0.0014
0.2911 0.7073 0.0014
0.9989 0.5009 0.9989
0.2911 0.0014 0.7073
0.5009 0.9989 0.9989
0.6538 0.6538 0.1550
0.1550 0.6538 0.6538
0.8490 0.3438 0.3438
0.6538 0.1550 0.6538
0.3438 0.8490 0.3438
0.0014 0.7073 0.2911
0.9029 0.9029 0.9029
0.6601 0.6601 0.6601
0.3384 0.3384 0.3384
```

Properties
D(E_F), states/eV per cell: 25.8
ΔE_f, eV per atom: -0.18
Space-group type: R3m

=====

(11)
# CuSiSe3

A relaxed CuSiSe3 crystal (PBE-GGA, Alexandria via LeMat-Bulk).

Geometry as POSCAR:
```
CuSiSe3
1.0
-1.3041 2.9961 3.5412
0.1656 -3.6461 3.1458
4.6357 0.9731 0.8838
Se Cu Si
3 1 1
direct
0.5000 0.0000 0.0000
0.0000 0.5000 0.0000
0.0000 0.0000 0.5000
0.5000 0.5000 0.5000
0.0000 0.0000 0.0000
```

Properties
D(E_F), states/eV per cell: 3.4
Uncorrected formation energy, eV per atom: 0.563
Distance to the lowest polymorph of the same formula, eV/f.u.: 3.89
Space-group type: Pm-3m

=====

(12)
# Ca12Bi3H5

A relaxed Ca12Bi3H5 crystal (PBE-GGA, Alexandria via LeMat-Bulk).

Geometry as POSCAR:
```
Ca12Bi3H5
1.0
14.2022 0.0000 0.0000
-4.7341 13.3900 0.0000
-4.7341 -6.6950 11.5961
Ca H Bi
48 20 12
direct
0.3871 0.3990 0.0941
0.9881 0.6010 0.1951
0.2070 0.6951 0.0941
0.2930 0.4059 0.8049
0.2930 0.8871 0.9881
0.5119 0.3049 0.8990
0.7930 0.3049 0.9059
0.4881 0.7930 0.8871
0.7070 0.5941 0.1951
0.9881 0.3871 0.2930
0.5119 0.2070 0.1129
0.6951 0.2070 0.5941
0.8049 0.8990 0.0119
0.1010 0.1951 0.4881
0.4881 0.6951 0.1010
0.0119 0.6129 0.7070
0.5941 0.8871 0.3990
0.8871 0.2930 0.4881
0.3049 0.7930 0.4059
0.1951 0.0941 0.7070
0.0119 0.3990 0.8049
0.3990 0.0119 0.3049
0.6129 0.6010 0.9059
0.7930 0.4881 0.3871
0.1010 0.9059 0.1129
0.6951 0.4881 0.6010
0.4059 0.2930 0.3049
0.3049 0.5119 0.3990
0.9059 0.8049 0.7930
0.1129 0.7070 0.5119
0.6010 0.6129 0.4059
0.0941 0.8990 0.3871
0.7070 0.1129 0.0119
0.4059 0.1129 0.6010
0.3871 0.9881 0.7930
0.1129 0.4059 0.1010
0.8990 0.0941 0.8871
0.8049 0.9059 0.2930
0.5941 0.7070 0.6951
0.3990 0.3871 0.5941
0.0941 0.1951 0.2070
0.1951 0.1010 0.9881
0.8990 0.8049 0.5119
0.6010 0.9881 0.6951
0.6129 0.0119 0.2070
0.2070 0.5119 0.6129
0.9059 0.1010 0.6129
0.8871 0.5941 0.8990
0.5000 0.0000 0.0000
0.5000 0.5000 0.5000
0.5000 0.0000 0.5000
0.7500 0.6250 0.3750
0.0000 0.0000 0.5000
0.0000 0.0000 0.0000
0.6250 0.8750 0.2500
0.3750 0.1250 0.7500
0.8750 0.2500 0.6250
0.1250 0.3750 0.2500
0.6250 0.7500 0.8750
0.5000 0.5000 0.0000
0.2500 0.8750 0.1250
0.2500 0.3750 0.6250
0.1250 0.7500 0.3750
0.7500 0.1250 0.8750
0.0000 0.5000 0.5000
0.3750 0.2500 0.1250
0.0000 0.5000 0.0000
0.8750 0.6250 0.7500
0.2500 0.6250 0.8750
0.1250 0.2500 0.8750
0.8750 0.1250 0.2500
0.2500 0.1250 0.3750
0.3750 0.7500 0.6250
0.1250 0.8750 0.7500
0.7500 0.8750 0.6250
0.7500 0.3750 0.1250
0.6250 0.2500 0.3750
0.6250 0.3750 0.7500
0.3750 0.6250 0.2500
0.8750 0.7500 0.1250
```

Properties
D(E_F), states/eV per cell: 30.7
Final energy, hartree per atom: -0.112
Space-group type: Ia-3d

=====

| no. | V (Å³ per atom) |
| --- | --- |
| 1 | 26.8 |
| 2 | 20.3 |
| 3 | 22.9 |
| 4 | 18.9 |
| 5 | 14.6 |
| 6 | 18.8 |
| 7 | 20.8 |
| 8 | 24.1 |
| 9 | 19.0 |
| 10 | 12.8 |
| 11 | 22.4 |
| 12 | 27.6 |